## NpNi6P4 (PBE)

Data for NpNi6P4 after structural relaxation.

Geometry as POSCAR:
```
NpNi6P4
1.0
-4.968 -2.677 1.606
2.220 -1.462 -5.231
4.825 -1.320 3.067
P Np Ni
4 1 6
Cartesian
0.214 -2.745 -0.020
3.949 -3.538 -1.179
3.035 -0.949 1.008
1.924 -1.009 -2.532
0.000 0.000 0.000
-1.374 -2.070 -1.813
4.036 -1.765 -2.570
-0.072 -1.999 2.336
-1.917 -2.526 0.645
2.206 -2.228 -0.654
4.797 -1.723 -0.143
```

Output
Theoretical density   7.95 g/cm3
DFT total energy   -74.95 eV for the cell shown
Density of states at the Fermi level   1.3506 states/eV/atom
Formation enthalpy at 0 K   -49.9 kJ/mol of atoms
Energy above the lowest structure with this stoichiometry   0.0534 eV per atom